Record 1
Below is an optimized crystal structure of NdTl3O6, with properties calculated at the PBE-GGA level.

abc: 3.496 9.421 9.394
angles: 108.21 90.00 90.00
Fractional positions:
Tl (0.250, 0.318, 0.490)
Tl (0.750, 0.167, 0.088)
O (0.250, 0.537, 0.398)
O (0.250, 0.902, 0.550)
O (0.750, 0.098, 0.450)
O (0.250, 0.265, 0.720)
Nd (0.750, 0.055, 0.691)
Nd (0.250, 0.945, 0.309)
O (0.250, 0.601, 0.941)
Tl (0.750, 0.443, 0.830)
O (0.750, 0.809, 0.752)
O (0.250, 0.076, 0.904)
Tl (0.750, 0.682, 0.510)
Tl (0.250, 0.557, 0.170)
Tl (0.250, 0.833, 0.912)
O (0.750, 0.463, 0.602)
O (0.750, 0.399, 0.059)
O (0.750, 0.924, 0.096)
O (0.750, 0.735, 0.280)
O (0.250, 0.191, 0.248)

Output
Crystal system: monoclinic
Formation energy from raw total energies: -1312 meV per atom
N(E_F): 0.229 states/eV per atom
M_tot: 0.00 μB per atom
E: -54.74 eV/f.u.
Space-group type: P2_1/m

Record 2
Below is an optimized crystal structure of Nd6Tl2O, with properties calculated at the PBE-GGA level.

abc: 7.137 7.137 7.137
angles: 60.00 60.00 60.00
Fractional positions:
O (0.500, 0.500, 0.500)
Nd (0.254, 0.747, 0.253)
Nd (0.253, 0.253, 0.746)
Nd (0.253, 0.746, 0.747)
Tl (0.250, 0.250, 0.250)
Nd (0.746, 0.253, 0.747)
Nd (0.747, 0.254, 0.253)
Nd (0.747, 0.747, 0.254)
Tl (0.750, 0.750, 0.750)

Output
Offset from the most stable computed form: 0 meV per atom
Crystal system: cubic
Formation energy from raw total energies: -767 meV per atom
N(E_F): 0.627 states/eV per atom
M_tot: 0.00 μB per atom
E: -45.20 eV/f.u.
Space-group type: Fm-3m

Record 3
Below is an optimized crystal structure of NdTlO3, with properties calculated at the PBE-GGA level.

abc: 3.919 5.776 9.122
angles: 118.25 90.00 90.00
Fractional positions:
O (0.750, 0.194, 0.382)
O (0.750, 0.668, 0.349)
O (0.250, 0.342, 0.618)
O (0.250, 0.980, 0.110)
Tl (0.250, 0.733, 0.840)
O (0.750, 0.556, 0.890)
Nd (0.250, 0.431, 0.392)
Tl (0.750, 0.803, 0.160)
O (0.250, 0.868, 0.651)
Nd (0.750, 0.105, 0.608)

Output
Crystal system: monoclinic
Formation energy from raw total energies: -1980 meV per atom
M_tot: 0.00 μB per atom
E: -31.91 eV/f.u.
Space-group type: P2_1/m

Record 4
Below is an optimized crystal structure of Nd3TlO2, with properties calculated at the PBE-GGA level.

abc: 4.695 4.798 11.998
angles: 90.00 90.00 90.00
Fractional positions:
Nd (0.750, 0.250, 0.250)
Tl (0.250, 0.750, 0.250)
Nd (0.750, 0.750, 0.495)
Nd (0.250, 0.250, 0.505)
Nd (0.250, 0.250, 0.995)
Nd (0.750, 0.750, 0.005)
O (0.750, 0.250, 0.050)
Tl (0.750, 0.250, 0.750)
Nd (0.250, 0.750, 0.750)
O (0.750, 0.250, 0.450)
O (0.250, 0.750, 0.950)
O (0.250, 0.750, 0.550)

Output
Crystal system: orthorhombic
Formation energy from raw total energies: -2021 meV per atom
N(E_F): 0.212 states/eV per atom
M_tot: 0.00 μB per atom
E: -38.71 eV/f.u.
Space-group type: Immm

Record 5
Below is an optimized crystal structure of Nd6Tl2O, with properties calculated at the PBE-GGA level.

abc: 3.628 9.726 9.009
angles: 122.67 90.00 90.00
Fractional positions:
Nd (0.500, 0.431, 0.477)
Tl (0.000, 0.291, 0.686)
Nd (0.500, 0.954, 0.523)
Nd (0.000, 0.796, 0.767)
O (0.500, 0.065, 0.000)
Nd (0.000, 0.215, 0.000)
Nd (0.500, 0.614, 0.000)
Tl (0.000, 0.605, 0.314)
Nd (0.000, 0.029, 0.233)

Output
Offset from the most stable computed form: 183 meV per atom
Crystal system: orthorhombic
Formation energy from raw total energies: -584 meV per atom
N(E_F): 1.181 states/eV per atom
M_tot: 0.00 μB per atom
E: -43.55 eV/f.u.
Space-group type: Amm2

Record 6
Below is an optimized crystal structure of Nd2TlO5, with properties calculated at the PBE-GGA level.

abc: 4.386 6.352 11.502
angles: 90.00 90.00 110.19
Site moments in Bohr magnetons follow the coordinates.
Fractional positions:
Nd (0.858, 0.715, 0.070)  0.00
O (0.287, 0.574, 0.083)  0.15
O (0.287, 0.574, 0.417)  0.15
O (0.046, 0.092, 0.389)  0.20
O (0.713, 0.426, 0.583)  0.15
Nd (0.142, 0.285, 0.930)  0.00
O (0.954, 0.908, 0.611)  0.20
O (0.750, 0.499, 0.250)  0.20
O (0.250, 0.501, 0.750)  0.20
Nd (0.858, 0.715, 0.430)  0.00
Tl (0.828, 0.655, 0.750)  0.01
Tl (0.172, 0.345, 0.250)  0.01
O (0.954, 0.908, 0.889)  0.20
O (0.046, 0.092, 0.111)  0.20
Nd (0.142, 0.285, 0.570)  0.00
O (0.713, 0.426, 0.917)  0.15

Output
Crystal system: orthorhombic
Formation energy from raw total energies: -2141 meV per atom
N(E_F): 0.878 states/eV per atom
M_tot: 0.13 μB per atom
E: -53.82 eV/f.u.
Space-group type: Cmcm

Record 7
Below is an optimized crystal structure of Nd3TlO6, with properties calculated at the PBE-GGA level.

abc: 5.840 7.508 7.508
angles: 102.90 90.00 90.00
Fractional positions:
O (0.199, 0.676, 0.643)
Nd (0.476, 0.303, 0.090)
O (0.201, 0.101, 0.568)
O (0.691, 0.976, 0.024)
O (0.699, 0.643, 0.676)
O (0.701, 0.568, 0.101)
O (0.701, 0.899, 0.432)
Nd (0.422, 0.400, 0.600)
Tl (0.988, 0.182, 0.818)
Nd (0.976, 0.697, 0.910)
Tl (0.488, 0.818, 0.182)
Nd (0.922, 0.600, 0.400)
Nd (0.976, 0.090, 0.303)
Nd (0.476, 0.910, 0.697)
O (0.199, 0.357, 0.324)
O (0.699, 0.324, 0.357)
O (0.633, 0.220, 0.780)
O (0.191, 0.024, 0.976)
O (0.201, 0.432, 0.899)
O (0.133, 0.780, 0.220)

Output
Crystal system: orthorhombic
Formation energy from raw total energies: -2691 meV per atom
N(E_F): 0.000 states/eV per atom
M_tot: 0.00 μB per atom
E: -73.32 eV/f.u.
Space-group type: Cmc2_1

Record 8
Below is an optimized crystal structure of Nd4Tl2O, with properties calculated at the PBE-GGA level.

abc: 6.691 7.097 9.378
angles: 90.00 110.30 90.00
Fractional positions:
Nd (0.531, 0.001, 0.277)
Nd (0.469, 0.999, 0.723)
O (0.296, 0.750, 0.206)
Tl (0.192, 0.250, 0.412)
Tl (0.692, 0.750, 0.030)
Nd (0.125, 0.750, 0.945)
Nd (0.073, 0.750, 0.350)
Tl (0.308, 0.250, 0.970)
Tl (0.808, 0.750, 0.588)
Nd (0.875, 0.250, 0.055)
Nd (0.927, 0.250, 0.650)
Nd (0.531, 0.499, 0.277)
O (0.704, 0.250, 0.794)
Nd (0.469, 0.501, 0.723)

Output
Offset from the most stable computed form: 0 meV per atom
Crystal system: monoclinic
Formation energy from raw total energies: -998 meV per atom
N(E_F): 0.742 states/eV per atom
M_tot: 0.00 μB per atom
E: -35.75 eV/f.u.
Space-group type: P2_1/m

Copy entry 4 word for word.
Below is an optimized crystal structure of Nd3TlO2, with properties calculated at the PBE-GGA level.

abc: 4.695 4.798 11.998
angles: 90.00 90.00 90.00
Fractional positions:
Nd (0.750, 0.250, 0.250)
Tl (0.250, 0.750, 0.250)
Nd (0.750, 0.750, 0.495)
Nd (0.250, 0.250, 0.505)
Nd (0.250, 0.250, 0.995)
Nd (0.750, 0.750, 0.005)
O (0.750, 0.250, 0.050)
Tl (0.750, 0.250, 0.750)
Nd (0.250, 0.750, 0.750)
O (0.750, 0.250, 0.450)
O (0.250, 0.750, 0.950)
O (0.250, 0.750, 0.550)

Output
Crystal system: orthorhombic
Formation energy from raw total energies: -2021 meV per atom
N(E_F): 0.212 states/eV per atom
M_tot: 0.00 μB per atom
E: -38.71 eV/f.u.
Space-group type: Immm

The highest E belongs to which entry? NdTlO3